(1)
DFT (SCAN) results for a crystal of CrReMo2 relaxed with PBEsol.

Computed properties:
ΔE to the lowest computed polymorph ... 25 meV per atom
DOS(E_F) ... 3.24 states/eV/f.u.
Uncorrected energy ... -159.1 eV per formula unit

Structure (extended XYZ):
```
4
Lattice="2.6579 0.0000 0.0000 0.0000 4.2969 0.0000 -0.9151 0.0000 4.9718" Properties=species:S:1:pos:R:3 pbc="T T T"
Cr 0.0000 0.0000 0.0000
Re 0.8714 0.0000 2.4859
Mo -0.0366 2.1484 3.7561
Mo 1.7794 2.1484 1.2157
```


(2)
DFT (SCAN) results for a crystal of Cr2ReMo relaxed with PBEsol.

Computed properties:
DOS(E_F) ... 3.72 states/eV/f.u.
Uncorrected energy ... -142.6 eV per formula unit

Structure (extended XYZ):
```
4
Lattice="0.0000 2.9781 2.9781 2.9781 0.0000 2.9781 2.9781 2.9781 0.0000" Properties=species:S:1:pos:R:3 pbc="T T T"
Cr 0.0000 0.0000 0.0000
Cr 1.4891 1.4891 1.4891
Re 4.4672 4.4672 4.4672
Mo 2.9781 2.9781 2.9781
```


(3)
DFT (SCAN) results for a crystal of CrReMo2 relaxed with PBEsol.

Computed properties:
ΔE to the lowest computed polymorph ... 10 meV per atom
DOS(E_F) ... 3.26 states/eV/f.u.
Uncorrected energy ... -159.1 eV per formula unit

Structure (extended XYZ):
```
4
Lattice="-1.5228 2.1560 4.3022 1.5228 -2.1560 4.3022 1.5228 2.1560 -4.3022" Properties=species:S:1:pos:R:3 pbc="T T T"
Cr 0.0000 0.0000 0.0000
Re 0.0000 0.0000 4.3022
Mo 1.5228 0.0000 2.1075
Mo 0.0000 2.1560 2.1948
```


(4)
DFT (SCAN) results for a crystal of Cr2ReMo relaxed with PBEsol.

Computed properties:
DOS(E_F) ... 3.41 states/eV/f.u.
Uncorrected energy ... -142.5 eV per formula unit

Structure (extended XYZ):
```
4
Lattice="2.6099 -4.1351 0.0000 2.6099 4.1351 0.0000 -0.8861 0.0000 2.4520" Properties=species:S:1:pos:R:3 pbc="T T T"
Cr 1.3049 2.0676 0.0000
Cr 1.3049 -2.0676 0.0000
Re -0.4431 0.0000 1.2260
Mo 2.1668 0.0000 1.2260
```


no.,magnetization (μB/f.u.)
1,0.00
2,0.00
3,0.00
4,0.00